Entry 1:
Entry from Alexandria via LeMat-Bulk: a relaxed Y4SnPt crystal (GGA-PBE).

a b c (Å): 7.082 7.094 7.394
angles (deg): 90.00 91.55 90.00
Fractional positions:
Y 0.174 0.836 0.644
Y 0.674 0.664 0.644
Y 0.138 0.352 0.821
Y 0.862 0.648 0.179
Y 0.826 0.164 0.356
Y 0.326 0.336 0.356
Y 0.638 0.148 0.821
Y 0.362 0.852 0.179
Sn 0.500 0.500 0.000
Sn 0.000 0.000 0.000
Pt 0.500 0.000 0.500
Pt 0.000 0.500 0.500

Values from the calculation:
**Symmetry**: No. 14
**Calculated volume**: 30.946 A^3/atom
**DOS at the Fermi energy**: 0.92 states/eV/atom
**Energy relative to the elements**: -0.58 eV/atom
**Magnetic moment**: 0.00 Bohr magnetons per cell

***

Entry 2:
Entry from Alexandria via LeMat-Bulk: a relaxed YSnPt3 crystal (GGA-PBE).

a b c (Å): 4.943 4.943 4.943
angles (deg): 90.00 90.00 90.00
Fractional positions:
Pt 0.500 0.000 0.000
Pt 0.000 0.000 0.500
Pt 0.000 0.500 0.000
Sn 0.000 0.000 0.000
Y 0.500 0.500 0.500

Values from the calculation:
**Symmetry**: No. 221
**Calculated volume**: 24.148 A^3/atom
**DOS at the Fermi energy**: 0.54 states/eV/atom
**Energy relative to the elements**: -0.03 eV/atom
**Magnetic moment**: 0.00 Bohr magnetons per cell

***

Entry 3:
Entry from Alexandria via LeMat-Bulk: a relaxed Y2SnPt4 crystal (GGA-PBE).

a b c (Å): 4.922 4.922 8.036
angles (deg): 107.83 107.83 90.00
Fractional positions:
Y 0.367 0.367 0.733
Y 0.633 0.633 0.267
Pt 0.184 0.184 0.368
Pt 0.816 0.816 0.632
Pt 0.500 0.000 0.000
Pt 0.000 0.500 0.000
Sn 0.000 0.000 0.000

Values from the calculation:
**Symmetry**: No. 139
**Calculated volume**: 25.068 A^3/atom
**DOS at the Fermi energy**: 0.30 states/eV/atom
**Energy relative to the elements**: -0.31 eV/atom
**Magnetic moment**: 0.00 Bohr magnetons per cell